No. 1
Material: GeHPd2
Method: DFT, PBE
State: optimized geometry

Total moment, Bohr magnetons per cell: 0.00
Crystal system: trigonal
Electronic total energy, eV per atom: -4.794

Unit cell a=3.054 b=3.054 c=6.427 alpha=76.26 beta=76.26 gamma=60.00
Atoms (fractional coordinates):
Ge (0.498, 0.498, 0.505)
Pd (0.061, 0.061, 0.817)
Pd (0.264, 0.264, 0.207)
H (0.676, 0.676, 0.972)

---

No. 2
Material: LiPIr2Se
Method: DFT, PBE
State: optimized geometry

Total moment, Bohr magnetons per cell: 0.00
Crystal system: tetragonal
Formation energy from raw total energies, eV/atom: 1.05

Unit cell a=4.352 b=4.006 c=4.352 alpha=90.00 beta=90.00 gamma=90.00
Atoms (fractional coordinates):
Ir (0.500, 0.000, 0.000)
Ir (0.000, 0.000, 0.500)
Li (0.000, 0.000, 0.000)
Se (0.000, 0.500, 0.000)
P (0.500, 0.500, 0.500)

---

No. 3
Material: KGa2AgBr8
Method: DFT, PBE
State: optimized geometry

Total moment, Bohr magnetons per cell: 0.00
Crystal system: trigonal
Formation energy from raw total energies, eV/atom: -0.91

Unit cell a=6.896 b=6.896 c=9.997 alpha=90.00 beta=90.00 gamma=120.00
Atoms (fractional coordinates):
Ag (0.000, 0.000, 0.500)
K (0.000, 0.000, 0.000)
Br (0.666, 0.675, 0.681)
Br (0.675, 0.009, 0.319)
Br (0.009, 0.334, 0.681)
Br (0.991, 0.666, 0.319)
Br (0.325, 0.991, 0.681)
Br (0.334, 0.325, 0.319)
Br (0.667, 0.333, 0.011)
Br (0.333, 0.667, 0.989)
Ga (0.667, 0.333, 0.247)
Ga (0.333, 0.667, 0.753)

---

No. 4
Material: SrAcNdCd
Method: DFT, PBE
State: optimized geometry

Total moment, Bohr magnetons per cell: 0.00
Crystal system: cubic
Calculated formation energy, meV/atom: 100

Unit cell a=5.935 b=5.935 c=5.935 alpha=60.00 beta=60.00 gamma=60.00
Atoms (fractional coordinates):
Nd (0.000, 0.000, 0.000)
Sr (0.500, 0.500, 0.500)
Cd (0.750, 0.750, 0.750)
Ac (0.250, 0.250, 0.250)

---

No. 5
Material: NaGdPt2
Method: DFT, PBE
State: optimized geometry

Total moment, Bohr magnetons per cell: 7.09
Crystal system: tetragonal
Calculated formation energy, meV/atom: -671

Unit cell a=3.927 b=4.454 c=4.454 alpha=90.00 beta=90.00 gamma=90.00
Atoms (fractional coordinates):
Pt (0.000, 0.500, 0.000)
Pt (0.000, 0.000, 0.500)
Gd (0.500, 0.500, 0.500)
Na (0.500, 0.000, 0.000)

---

No. 6
Material: NaHoPbCl6
Method: DFT, PBE
State: optimized geometry

Total moment, Bohr magnetons per cell: 0.00
Crystal system: trigonal
Formation energy from raw total energies, eV/atom: -1.81

Unit cell a=7.014 b=7.014 c=12.484 alpha=90.00 beta=90.00 gamma=120.00
Atoms (fractional coordinates):
Na (0.667, 0.333, 0.750)
Na (0.333, 0.667, 0.250)
Cl (0.642, 0.661, 0.630)
Cl (0.339, 0.980, 0.630)
Cl (0.020, 0.661, 0.870)
Cl (0.642, 0.980, 0.870)
Cl (0.980, 0.642, 0.370)
Cl (0.339, 0.358, 0.870)
Cl (0.980, 0.339, 0.130)
Cl (0.358, 0.020, 0.130)
Cl (0.661, 0.020, 0.370)
Cl (0.661, 0.642, 0.130)
Cl (0.020, 0.358, 0.630)
Cl (0.358, 0.339, 0.370)
Pb (0.000, 0.000, 0.000)
Pb (0.000, 0.000, 0.500)
Ho (0.667, 0.333, 0.250)
Ho (0.333, 0.667, 0.750)

---

No. 7
Material: Pr6Si2NiBr3
Method: DFT, PBE
State: optimized geometry

Total moment, Bohr magnetons per cell: 0.00
Crystal system: monoclinic
Formation energy from raw total energies, eV/atom: -0.96

Unit cell a=4.191 b=9.021 c=9.826 alpha=105.17 beta=102.31 gamma=90.00
Atoms (fractional coordinates):
Ni (0.500, 0.000, 0.000)
Br (0.170, 0.833, 0.340)
Br (0.500, 0.500, 0.000)
Br (0.830, 0.167, 0.660)
Pr (0.326, 0.437, 0.651)
Pr (0.657, 0.102, 0.313)
Pr (0.994, 0.785, 0.987)
Pr (0.674, 0.563, 0.349)
Pr (0.006, 0.215, 0.013)
Pr (0.343, 0.898, 0.687)
Si (0.834, 0.666, 0.668)
Si (0.166, 0.334, 0.332)

---

No. 8
Material: Ba7Br
Method: DFT, PBE
State: optimized geometry

Total moment, Bohr magnetons per cell: 0.00
Crystal system: cubic
Formation energy from raw total energies, eV/atom: -0.17

Unit cell a=8.769 b=8.769 c=8.769 alpha=60.00 beta=60.00 gamma=60.00
Atoms (fractional coordinates):
Ba (0.500, 0.500, 0.500)
Ba (0.000, 0.000, 0.500)
Ba (0.500, 0.000, 0.500)
Ba (0.500, 0.000, 0.000)
Ba (0.000, 0.500, 0.500)
Ba (0.000, 0.500, 0.000)
Ba (0.500, 0.500, 0.000)
Br (0.000, 0.000, 0.000)

---

No. 9
Material: MnOsCl2
Method: DFT, PBE
State: optimized geometry

Total moment, Bohr magnetons per cell: 7.63
Crystal system: tetragonal
Formation energy from raw total energies, eV/atom: 0.80

Unit cell a=2.969 b=2.969 c=10.222 alpha=90.00 beta=90.00 gamma=90.00
Atoms (fractional coordinates):
Mn (0.500, 0.500, 0.250)
Cl (0.000, 0.000, 0.404)
Cl (0.000, 0.000, 0.096)
Os (0.500, 0.500, 0.750)

---

No. 10
Material: GdScGaRh
Method: DFT, PBE
State: optimized geometry

Total moment, Bohr magnetons per cell: 7.08
Crystal system: cubic
Calculated formation energy, meV/atom: -664

Unit cell a=4.851 b=4.851 c=4.851 alpha=60.00 beta=60.00 gamma=60.00
Atoms (fractional coordinates):
Rh (0.500, 0.500, 0.500)
Sc (0.250, 0.250, 0.250)
Ga (0.000, 0.000, 0.000)
Gd (0.750, 0.750, 0.750)

---

No. 11
Material: NaHo2PdO5
Method: DFT, PBE
State: optimized geometry

Total moment, Bohr magnetons per cell: 2.06
Crystal system: tetragonal
Formation energy from raw total energies, eV/atom: -2.12

Unit cell a=6.471 b=6.471 c=7.508 alpha=115.53 beta=115.53 gamma=90.00
Atoms (fractional coordinates):
Ho (0.173, 0.327, 0.000)
Ho (0.827, 0.673, 0.000)
Ho (0.673, 0.173, 0.000)
Ho (0.327, 0.827, 0.000)
O (0.481, 0.251, 0.232)
O (0.500, 0.500, 0.000)
O (0.981, 0.481, 0.232)
O (0.000, 0.000, 0.000)
O (0.519, 0.749, 0.768)
O (0.749, 0.249, 0.768)
O (0.249, 0.019, 0.768)
O (0.251, 0.751, 0.232)
O (0.751, 0.981, 0.232)
O (0.019, 0.519, 0.768)
Pd (0.750, 0.250, 0.500)
Pd (0.250, 0.750, 0.500)
Na (0.250, 0.250, 0.500)
Na (0.750, 0.750, 0.500)

---

No. 12
Material: Bi2PdRh
Method: DFT, PBE
State: optimized geometry

Total moment, Bohr magnetons per cell: 0.00
Crystal system: trigonal
Calculated formation energy, meV/atom: 114

Unit cell a=3.451 b=3.451 c=9.416 alpha=79.44 beta=79.44 gamma=60.00
Atoms (fractional coordinates):
Bi (0.096, 0.096, 0.711)
Bi (0.904, 0.904, 0.289)
Rh (0.500, 0.500, 0.500)
Pd (0.000, 0.000, 0.000)